[1]
Material: TaNbS3
Method: DFT, SCAN
State: PBEsol geometry

a = 4.6830 Å, b = 4.6830 Å, c = 4.6830 Å
α = 90.00°, β = 90.00°, γ = 90.00°
With the nearest neighbours (Å) after each atom.
Space group Pm-3m (No. 221)
Unique sites:
Ta: 0.0000 0.0000 0.0000 x1  12 S 3.31
Nb: 0.5000 0.5000 0.5000 x1  6 S 2.34
S: 0.0000 0.5000 0.5000 x3  2 Nb 2.34

Properties
- Mass density: 5.98 g/cm³
- Calculated total energy: -126.424 eV/f.u.
- Raw formation energy: 41.9 kJ per mole of atoms

[2]
Material: TePtN2Cl
Method: DFT, SCAN
State: PBEsol geometry

a = 3.6842 Å, b = 3.6842 Å, c = 6.5343 Å
α = 90.00°, β = 90.00°, γ = 90.00°
With the nearest neighbours (Å) after each atom.
Space group P4/mmm (No. 123)
Unique sites:
Te: 0.0000 0.0000 0.0000 x1  4 Pt 2.61
Pt: 0.5000 0.5000 0.0000 x1  4 Te 2.61
N: 0.0000 0.5000 0.5000 x2  2 Cl 1.84
Cl: 0.0000 0.0000 0.5000 x1  4 N 1.84

Properties
- Mass density: 7.23 g/cm³
- Calculated total energy: -123.170 eV/f.u.
- Raw formation energy: 209.1 kJ per mole of atoms

[3]
Material: ReTeRh2
Method: DFT, SCAN
State: PBEsol geometry

a = 5.4386 Å, b = 7.9298 Å, c = 2.8712 Å
α = 90.00°, β = 90.00°, γ = 90.00°
With the nearest neighbours (Å) after each atom.
Space group Cmmm (No. 65)
Unique sites:
Re: 0.0000 0.0000 0.0000 x2  2 Te 2.72, 8 Rh 2.80, 2 Re 2.87
Te: 0.0000 0.5000 0.0000 x2  2 Re 2.72, 8 Rh 2.80, 2 Te 2.87
Rh: 0.2500 0.2500 0.5000 x4  4 Rh 2.72-2.87, 4 Re 2.80, 4 Te 2.80

Properties
- Mass density: 13.94 g/cm³
- Calculated total energy: -174.557 eV/f.u.
- Raw formation energy: 32.2 kJ per mole of atoms

[4]
Material: SrOsPb2
Method: DFT, SCAN
State: PBEsol geometry

a = 7.2978 Å, b = 7.2978 Å, c = 7.2978 Å
α = 90.00°, β = 90.00°, γ = 90.00°
With the nearest neighbours (Å) after each atom.
Space group F-43m (No. 216)
Unique sites:
Sr: 0.0000 0.0000 0.0000 x4  4 Pb 3.16, 4 Os 3.16
Os: 0.2500 0.2500 0.2500 x4  4 Sr 3.16, 4 Pb 3.16
Pb: 0.0000 0.0000 0.5000 x4  4 Os 3.16, 4 Pb 3.16
Pb: 0.2500 0.2500 0.7500 x4  4 Pb 3.16, 4 Sr 3.16

Properties
- Mass density: 11.83 g/cm³
- Calculated total energy: -243.165 eV/f.u.
- Energy of formation from the pure elements: 638.2 meV per atom

[5]
Material: KLi2Hg
Method: DFT, SCAN
State: PBEsol geometry

a = 3.4187 Å, b = 5.9204 Å, c = 10.9991 Å
α = 90.00°, β = 90.00°, γ = 90.00°
With the nearest neighbours (Å) after each atom.
Space group Immm (No. 71)
Unique sites:
K: 0.0000 0.0000 0.0000 x2  4 Hg 3.42, 2 K 3.42, 8 Li 3.70
Li: 0.0000 0.5000 0.2016 x4  2 Hg 2.80
Hg: 0.0000 0.0000 0.5000 x2  4 Li 2.80

Properties
- Mass density: 3.78 g/cm³
- Calculated total energy: -81.864 eV/f.u.
- Energy of formation from the pure elements: -147.5 meV per atom

[6]
Material: Zr3Hg4
Method: DFT, SCAN
State: PBEsol geometry

a = 3.1593 Å, b = 3.1593 Å, c = 29.3975 Å
α = 90.00°, β = 90.00°, γ = 90.00°
With the nearest neighbours (Å) after each atom.
Space group I4/mmm (No. 139)
Unique sites:
Zr: 0.0000 0.0000 0.0000 x2  8 Hg 3.02, 4 Zr 3.16
Zr: 0.0000 0.0000 0.2882 x4  4 Hg 3.06, 8 Zr 3.16-3.17
Hg: 0.0000 0.0000 0.1406 x4  4 Zr 3.06, 8 Hg 3.07-3.16
Hg: 0.0000 0.0000 0.4309 x4  4 Zr 3.02, 8 Hg 3.07-3.16

Properties
- Mass density: 12.18 g/cm³
- Calculated total energy: -366.292 eV/f.u.
- Energy of formation from the pure elements: -218.9 meV per atom